Material: GaIr6Os
Method: DFT, PBE
State: optimized geometry

Output
SG: P4/mmm (123)
Final energy (eV for the cell shown): -68.14

abc: 3.8695 3.8695 7.7686
angles: 90.00 90.00 90.00
Last column: nearest neighbours and their distance in Å.
Positions (direct):
Ga (0.0000, 0.0000, 0.0000)  12 Ir 2.74-2.78
Ir (0.5000, 0.5000, 0.0000)  4 Ga 2.74, 8 Ir 2.78
Ir (0.5000, 0.5000, 0.5000)  8 Ir 2.71, 4 Os 2.74
Ir (0.5000, 0.0000, 0.2563)  2 Os 2.71, 8 Ir 2.71-2.78, 2 Ga 2.78
Ir (0.5000, 0.0000, 0.7437)  8 Ir 2.71-2.78, 2 Os 2.71, 2 Ga 2.78
Ir (0.0000, 0.5000, 0.2563)  2 Os 2.71, 8 Ir 2.71-2.78, 2 Ga 2.78
Ir (0.0000, 0.5000, 0.7437)  8 Ir 2.71-2.78, 2 Os 2.71, 2 Ga 2.78
Os (0.0000, 0.0000, 0.5000)  12 Ir 2.71-2.74